Entry 1:
First-principles (PBE) data for a relaxed ScSi7 crystal, as listed in Alexandria via LeMat-Bulk.

Values from the calculation:
For the final energy, the calculation gives -5.36 eV per atom.

a b c (Å): 5.552 5.552 5.552
angles (deg): 60.00 60.00 60.00
Fractional positions:
Si1 0.500 0.500 0.500
Si2 0.000 0.000 0.500
Si3 0.000 0.500 0.000
Si4 0.500 0.000 0.000
Si5 0.500 0.000 0.500
Si6 0.000 0.500 0.500
Si7 0.500 0.500 0.000
Sc1 0.000 0.000 0.000

=====

Entry 2:
First-principles (PBE) data for a relaxed Sc3Si crystal, as listed in Alexandria via LeMat-Bulk.

Values from the calculation:
The calculation puts the energy relative to the lowest polymorph listed for this composition at 336 meV/atom.

a b c (Å): 9.608 9.608 9.608
angles (deg): 19.72 19.72 19.72
Fractional positions:
Sc1 0.500 0.500 0.500
Sc2 0.737 0.737 0.737
Sc3 0.263 0.263 0.263
Si1 0.000 0.000 0.000

=====

Entry 3:
First-principles (PBE) data for a relaxed ScSi crystal, as listed in Alexandria via LeMat-Bulk.

Values from the calculation:
For the final energy, the calculation gives -5.86 eV per atom.

a b c (Å): 9.162 9.162 9.162
angles (deg): 19.74 19.74 19.74
Each line ends with the local moment (μB).
Fractional positions:
Si1 0.242 0.242 0.242  0.01
Si2 0.508 0.508 0.508  0.01
Sc1 0.992 0.992 0.992  0.21
Sc2 0.758 0.758 0.758  0.21

=====

Entry 4:
First-principles (PBE) data for a relaxed Sc3Si crystal, as listed in Alexandria via LeMat-Bulk.

Values from the calculation:
The calculation puts the energy relative to the lowest polymorph listed for this composition at 248 meV/atom.

a b c (Å): 3.220 4.684 5.442
angles (deg): 90.00 90.00 90.00
Fractional positions:
Sc1 0.500 0.500 0.848
Sc2 0.500 0.000 0.476
Sc3 0.000 0.000 0.019
Si1 0.000 0.500 0.324

=====

Entry 5:
First-principles (PBE) data for a relaxed ScSi crystal, as listed in Alexandria via LeMat-Bulk.

Values from the calculation:
For the final energy, the calculation gives -6.25 eV per atom.

a b c (Å): 3.857 3.857 5.453
angles (deg): 90.00 90.00 90.00
Fractional positions:
Sc1 0.500 0.500 0.375
Sc2 0.000 0.000 0.875
Si1 0.500 0.500 0.875
Si2 0.000 0.000 0.375

=====

Entry 6:
First-principles (PBE) data for a relaxed Sc2Si crystal, as listed in Alexandria via LeMat-Bulk.

Values from the calculation:
For the final energy, the calculation gives -6.43 eV per atom.

a b c (Å): 4.445 4.445 3.522
angles (deg): 90.00 90.00 120.00
Fractional positions:
Sc1 0.333 0.667 0.732
Sc2 0.667 0.333 0.268
Si1 0.000 0.000 0.000

=====

Entry 7:
First-principles (PBE) data for a relaxed Sc4Si23 crystal, as listed in Alexandria via LeMat-Bulk.

Values from the calculation:
For the final energy, the calculation gives -5.43 eV per atom.

a b c (Å): 10.066 10.066 10.066
angles (deg): 90.00 90.00 90.00
Fractional positions:
Sc1 0.500 0.000 0.750
Sc2 0.750 0.500 0.000
Sc3 0.000 0.000 0.000
Sc4 0.500 0.000 0.250
Sc5 0.000 0.750 0.500
Sc6 0.250 0.500 0.000
Sc7 0.000 0.250 0.500
Sc8 0.500 0.500 0.500
Si1 0.317 0.317 0.317
Si2 0.884 0.000 0.690
Si3 0.817 0.817 0.183
Si4 0.116 0.000 0.690
Si5 0.500 0.384 0.190
Si6 0.500 0.250 0.000
Si7 0.310 0.884 0.000
Si8 0.183 0.817 0.817
Si9 0.500 0.616 0.190
Si10 0.317 0.317 0.683
Si11 0.810 0.500 0.384
Si12 0.616 0.190 0.500
Si13 0.000 0.500 0.250
Si14 0.683 0.683 0.683
Si15 0.817 0.183 0.817
Si16 0.690 0.116 0.000
Si17 0.183 0.183 0.817
Si18 0.817 0.183 0.183
Si19 0.310 0.116 0.000
Si20 0.683 0.683 0.317
Si21 0.884 0.000 0.310
Si22 0.250 0.000 0.500
Si23 0.000 0.310 0.116
Si24 0.190 0.500 0.616
Si25 0.384 0.190 0.500
Si26 0.116 0.000 0.310
Si27 0.190 0.500 0.384
Si28 0.500 0.616 0.810
Si29 0.000 0.690 0.116
Si30 0.183 0.817 0.183
Si31 0.317 0.683 0.317
Si32 0.810 0.500 0.616
Si33 0.616 0.810 0.500
Si34 0.000 0.310 0.884
Si35 0.690 0.884 0.000
Si36 0.683 0.317 0.683
Si37 0.750 0.000 0.500
Si38 0.384 0.810 0.500
Si39 0.183 0.183 0.183
Si40 0.817 0.817 0.817
Si41 0.500 0.384 0.810
Si42 0.683 0.317 0.317
Si43 0.500 0.750 0.000
Si44 0.000 0.500 0.750
Si45 0.317 0.683 0.683
Si46 0.000 0.690 0.884

=====

Entry 8:
First-principles (PBE) data for a relaxed Sc3Si crystal, as listed in Alexandria via LeMat-Bulk.

Values from the calculation:
The calculation puts the energy relative to the lowest polymorph listed for this composition at 120 meV/atom.

a b c (Å): 4.309 4.309 4.307
angles (deg): 90.00 90.00 89.97
Each line ends with the local moment (μB).
Fractional positions:
Sc1 0.000 0.500 0.500  0.31
Sc2 0.500 0.500 0.000  0.31
Sc3 0.500 0.000 0.500  0.31
Si1 0.000 0.000 0.000  -0.01

=====

Entry 9:
First-principles (PBE) data for a relaxed Sc2Si crystal, as listed in Alexandria via LeMat-Bulk.

Values from the calculation:
For the final energy, the calculation gives -6.48 eV per atom.

a b c (Å): 5.661 5.661 7.529
angles (deg): 70.41 70.41 31.52
Fractional positions:
Si1 0.943 0.943 0.285
Si2 0.057 0.057 0.715
Sc1 0.654 0.654 0.387
Sc2 0.346 0.346 0.613
Sc3 0.634 0.634 0.977
Sc4 0.366 0.366 0.023

=====

Entry 10:
First-principles (PBE) data for a relaxed ScSi2 crystal, as listed in Alexandria via LeMat-Bulk.

Values from the calculation:
For the final energy, the calculation gives -6.10 eV per atom.

a b c (Å): 3.643 3.643 4.193
angles (deg): 90.00 90.00 90.00
Fractional positions:
Si1 0.500 0.000 0.000
Si2 0.000 0.500 0.000
Sc1 0.000 0.000 0.500

=====

Entry 11:
First-principles (PBE) data for a relaxed Sc3Si crystal, as listed in Alexandria via LeMat-Bulk.

Values from the calculation:
The calculation puts the energy relative to the lowest polymorph listed for this composition at 198 meV/atom.

a b c (Å): 3.582 3.847 6.003
angles (deg): 90.00 90.00 90.00
Fractional positions:
Si1 0.000 0.000 0.000
Sc1 0.500 0.500 0.770
Sc2 0.000 0.000 0.500
Sc3 0.500 0.500 0.230

=====

Entry 12:
First-principles (PBE) data for a relaxed ScSi crystal, as listed in Alexandria via LeMat-Bulk.

Values from the calculation:
For the final energy, the calculation gives -6.68 eV per atom.

a b c (Å): 4.026 6.009 6.330
angles (deg): 90.00 108.58 90.00
Fractional positions:
Si1 0.899 0.451 0.799
Si2 0.899 0.049 0.799
Si3 0.101 0.549 0.201
Si4 0.101 0.951 0.201
Sc1 0.724 0.750 0.447
Sc2 0.452 0.750 0.904
Sc3 0.276 0.250 0.553
Sc4 0.548 0.250 0.096

=====

Sequential total moment output: 0.00, 0.00, 0.19, 0.00, 0.00, 0.00, 0.00, 0.33, 0.00, 0.00, 0.00, 0.00 μB per atom
Sequential volume output: 15.13, 22.08, 19.18, 20.52, 20.28, 20.09, 18.89, 19.99, 19.71, 18.55, 20.68, 18.15 Å³ per atom